Record 1
DFT (GGA-PBE) results for CdCu2HPd after structural relaxation.

The density of states at the Fermi level comes out at 1.2 states/eV/cell. As for the distance to the lowest polymorph of the same formula: 116 meV per atom. The raw total energy comes out at -3.4740 eV/atom.

The space group is P4/mmm (No. 123) and the conventional cell measures 3.844, 3.844 and 4.259 Å, with angles of 90.00, 90.00 and 90.00 degrees. The inequivalent atoms are Cd at (0.000, 0.000, 0.000), Cu at (0.000, 0.500, 0.500), H at (0.000, 0.000, 0.500) and Pd at (0.500, 0.500, 0.000).

Record 2
DFT (GGA-PBE) results for SrLaCu2O5 after structural relaxation.

The density of states at the Fermi level comes out at 4.9 states/eV/cell. Its uncorrected formation energy is -177.4 kJ/mol of atoms. The raw total energy comes out at -6.2375 eV/atom.

The space group is P4/mmm (No. 123) and the conventional cell measures 3.912, 3.912 and 7.648 Å, with angles of 90.00, 90.00 and 90.00 degrees. The inequivalent atoms are Sr at (0.000, 0.000, 0.000), La at (0.000, 0.000, 0.500), Cu at (0.500, 0.500, 0.257), O at (0.000, 0.500, 0.294) and O at (0.500, 0.500, 0.000).

Record 3
DFT (GGA-PBE) results for Mn2TlW after structural relaxation.

The density of states at the Fermi level comes out at 4.4 states/eV/cell. The formation energy is 0.76 eV per atom. As for the distance to the lowest polymorph of the same formula: 293 meV per atom. The raw total energy comes out at -7.6592 eV/atom.

The space group is P2/m (No. 10) and the conventional cell measures 4.740, 2.904 and 5.072 Å, with angles of 90.00, 110.83 and 90.00 degrees. The inequivalent atoms are Mn at (0.000, 0.000, 0.000), Mn at (0.000, 0.500, 0.500), Tl at (0.500, 0.000, 0.500) and W at (0.500, 0.500, 0.000).